[1]
{"formula": "ScBr2O", "functional": "GGA-PBE", "state": "relaxed", "lattice": [[1.968, 1.136, 8.337], [-1.968, 1.136, 8.337], [0.000, -2.272, 8.337]], "species": ["Sc", "Br", "Br", "O"], "frac_coords": [[0.000, 0.000, 0.000], [0.098, 0.098, 0.098], [0.902, 0.902, 0.902], [0.500, 0.500, 0.500]], "relative_energy_mev_per_atom": 1730, "energy_ev_per_atom": -3.50, "dos_ef_per_ev_cell": 8.4, "e_form_raw_ev_per_atom": 0.16, "spacegroup": "R-3m, No. 166"}

[2]
{"formula": "ScBrO2", "functional": "GGA-PBE", "state": "relaxed", "lattice": [[-2.854, 2.854, 4.781], [2.854, -2.854, 4.781], [2.854, 2.854, -4.781]], "species": ["Sc", "Sc", "Br", "Br", "O", "O", "O", "O"], "frac_coords": [[0.000, 0.000, 0.000], [0.750, 0.250, 0.500], [0.250, 0.750, 0.500], [0.500, 0.500, 0.000], [0.375, 0.249, 0.374], [0.751, 0.125, 0.126], [0.875, 0.001, 0.626], [0.999, 0.625, 0.874]], "relative_energy_mev_per_atom": 468, "energy_ev_per_atom": -6.02, "dos_ef_per_ev_cell": 2.0, "e_form_raw_ev_per_atom": -1.54, "spacegroup": "I-42d, No. 122"}

[3]
{"formula": "ScBr2O", "functional": "GGA-PBE", "state": "relaxed", "lattice": [[-5.087, 5.087, 1.993], [5.087, -5.087, 1.993], [5.087, 5.087, -1.993]], "species": ["Sc", "Sc", "Br", "Br", "Br", "Br", "O", "O"], "frac_coords": [[0.000, 0.000, 0.000], [0.750, 0.250, 0.500], [0.375, 0.212, 0.337], [0.788, 0.125, 0.163], [0.875, 0.038, 0.663], [0.962, 0.625, 0.837], [0.250, 0.750, 0.500], [0.500, 0.500, 0.000]], "relative_energy_mev_per_atom": 0, "energy_ev_per_atom": -5.23, "dos_ef_per_ev_cell": 3.5, "e_form_raw_ev_per_atom": -1.57, "spacegroup": "I-42d, No. 122"}

[4]
{"formula": "Sc2BrO", "functional": "GGA-PBE", "state": "relaxed", "lattice": [[-2.788, 2.788, 5.315], [2.788, -2.788, 5.315], [2.788, 2.788, -5.315]], "species": ["Sc", "Sc", "Sc", "Sc", "Br", "Br", "O", "O"], "frac_coords": [[0.028, 0.625, 0.903], [0.375, 0.278, 0.403], [0.722, 0.125, 0.097], [0.875, 0.972, 0.597], [0.250, 0.750, 0.500], [0.500, 0.500, 0.000], [0.000, 0.000, 0.000], [0.750, 0.250, 0.500]], "relative_energy_mev_per_atom": 0, "energy_ev_per_atom": -6.51, "dos_ef_per_ev_cell": 6.8, "e_form_raw_ev_per_atom": -1.69, "spacegroup": "I-42d, No. 122"}

[5]
{"formula": "ScBrO", "functional": "GGA-PBE", "state": "relaxed", "lattice": [[3.630, 0.000, 0.000], [0.000, 3.630, 0.000], [0.000, 0.000, 9.169]], "species": ["Sc", "Sc", "Br", "Br", "O", "O"], "frac_coords": [[0.250, 0.250, 0.113], [0.750, 0.750, 0.887], [0.250, 0.250, 0.703], [0.750, 0.750, 0.297], [0.250, 0.750, 0.000], [0.750, 0.250, 0.000]], "energy_ev_per_atom": -7.03, "dos_ef_per_ev_cell": 0.0, "e_form_raw_ev_per_atom": -2.70, "spacegroup": "P4/nmm, No. 129"}

[6]
{"formula": "ScBr3O7", "functional": "GGA-PBE", "state": "relaxed", "lattice": [[6.447, 0.000, 0.000], [0.000, 9.781, 0.000], [-6.310, 0.000, 7.248]], "species": ["Sc", "Sc", "Br", "Br", "Br", "Br", "Br", "Br", "O", "O", "O", "O", "O", "O", "O", "O", "O", "O", "O", "O", "O", "O"], "frac_coords": [[0.000, 0.125, 0.250], [0.000, 0.875, 0.750], [0.247, 0.166, 0.019], [0.247, 0.834, 0.519], [0.500, 0.202, 0.750], [0.500, 0.798, 0.250], [0.753, 0.166, 0.481], [0.753, 0.834, 0.981], [0.000, 0.089, 0.750], [0.000, 0.911, 0.250], [0.124, 0.498, 0.790], [0.124, 0.502, 0.290], [0.135, 0.186, 0.503], [0.135, 0.814, 0.003], [0.388, 0.174, 0.342], [0.388, 0.826, 0.842], [0.612, 0.174, 0.158], [0.612, 0.826, 0.658], [0.865, 0.186, 0.997], [0.865, 0.814, 0.497], [0.876, 0.498, 0.710], [0.876, 0.502, 0.210]], "relative_energy_mev_per_atom": 0, "energy_ev_per_atom": -4.65, "dos_ef_per_ev_cell": 8.1, "e_form_raw_ev_per_atom": -0.46, "spacegroup": "P2/c, No. 13"}

[7]
{"formula": "Sc2Br2O", "functional": "GGA-PBE", "state": "relaxed", "lattice": [[10.355, -1.833, 0.000], [10.355, 1.833, 0.000], [-0.675, 0.000, 6.306]], "species": ["Sc", "Sc", "Sc", "Sc", "Br", "Br", "Br", "Br", "O", "O"], "frac_coords": [[0.185, 0.185, 0.384], [0.313, 0.313, 0.087], [0.687, 0.687, 0.913], [0.815, 0.815, 0.616], [0.103, 0.103, 0.698], [0.406, 0.406, 0.795], [0.594, 0.594, 0.205], [0.897, 0.897, 0.302], [0.213, 0.213, 0.083], [0.787, 0.787, 0.917]], "energy_ev_per_atom": -6.29, "dos_ef_per_ev_cell": 4.8, "e_form_raw_ev_per_atom": -2.10, "spacegroup": "C2/m, No. 12"}

[8]
{"formula": "ScBr3O", "functional": "GGA-PBE", "state": "relaxed", "lattice": [[5.288, 0.000, 0.000], [0.000, 5.288, 0.000], [0.000, 0.000, 5.288]], "species": ["Sc", "Br", "Br", "Br", "O"], "frac_coords": [[0.000, 0.000, 0.000], [0.000, 0.000, 0.500], [0.000, 0.500, 0.000], [0.500, 0.000, 0.000], [0.500, 0.500, 0.500]], "relative_energy_mev_per_atom": 0, "energy_ev_per_atom": -3.86, "dos_ef_per_ev_cell": 20.0, "e_form_raw_ev_per_atom": -0.60, "spacegroup": "Pm-3m, No. 221"}